[1]
Below is crystalline DyHoTmTh2 at its relaxed geometry, with properties calculated at the GGA-PBE level.

* ΔH_f (0 K): 425 meV per atom

Structure (CIF):
```
data_DyHoTmTh2
_cell_length_a 8.4387
_cell_length_b 8.4387
_cell_length_c 6.6238
_cell_angle_alpha 90.00
_cell_angle_beta 90.00
_cell_angle_gamma 133.81
_symmetry_space_group_name_H-M 'P 1'
_symmetry_Int_Tables_number 1
loop_
_symmetry_equiv_pos_as_xyz
'x,y,z'
loop_
_atom_site_label
_atom_site_type_symbol
_atom_site_fract_x
_atom_site_fract_y
_atom_site_fract_z
Dy1 Dy 0.1525 0.8475 0.7500
Dy2 Dy 0.8475 0.1525 0.2500
Ho1 Ho 0.2487 0.7513 0.2500
Ho2 Ho 0.7513 0.2487 0.7500
Tm1 Tm 0.3485 0.6515 0.7500
Tm2 Tm 0.6515 0.3485 0.2500
Th1 Th 0.2502 0.2502 0.0000
Th2 Th 0.2502 0.2502 0.5000
Th3 Th 0.7498 0.7498 0.0000
Th4 Th 0.7498 0.7498 0.5000
```

=====

[2]
Below is crystalline DyHo2Tm5Th at its relaxed geometry, with properties calculated at the GGA-PBE level.

* ΔH_f (0 K): 169 meV per atom

Structure (CIF):
```
data_DyHo2Tm5Th
_cell_length_a 11.0007
_cell_length_b 11.0007
_cell_length_c 9.6162
_cell_angle_alpha 90.00
_cell_angle_beta 90.00
_cell_angle_gamma 150.37
_symmetry_space_group_name_H-M 'P 1'
_symmetry_Int_Tables_number 1
loop_
_symmetry_equiv_pos_as_xyz
'x,y,z'
loop_
_atom_site_label
_atom_site_type_symbol
_atom_site_fract_x
_atom_site_fract_y
_atom_site_fract_z
Dy1 Dy 0.1915 0.8085 0.5000
Dy2 Dy 0.8085 0.1915 0.0000
Ho1 Ho 0.1145 0.8855 0.1900
Ho2 Ho 0.1308 0.8692 0.8077
Ho3 Ho 0.8692 0.1308 0.3077
Ho4 Ho 0.8855 0.1145 0.6901
Tm1 Tm 0.0144 0.9856 0.4988
Tm2 Tm 0.2699 0.7301 0.1908
Tm3 Tm 0.3057 0.6943 0.7997
Tm4 Tm 0.3972 0.6028 0.4777
Tm5 Tm 0.4695 0.5305 0.7772
Tm6 Tm 0.5305 0.4695 0.2772
Tm7 Tm 0.6028 0.3972 0.9777
Tm8 Tm 0.6943 0.3057 0.2997
Tm9 Tm 0.7301 0.2699 0.6908
Tm10 Tm 0.9856 0.0144 0.9988
Th1 Th 0.4051 0.5949 0.0955
Th2 Th 0.5949 0.4051 0.5955
```

=====

[3]
Below is crystalline Dy3HoTmTh at its relaxed geometry, with properties calculated at the GGA-PBE level.

* ΔH_f (0 K): 192 meV per atom

Structure (CIF):
```
data_Dy3HoTmTh
_cell_length_a 11.2392
_cell_length_b 11.2392
_cell_length_c 6.7103
_cell_angle_alpha 99.07
_cell_angle_beta 99.07
_cell_angle_gamma 27.84
_symmetry_space_group_name_H-M 'P 1'
_symmetry_Int_Tables_number 1
loop_
_symmetry_equiv_pos_as_xyz
'x,y,z'
loop_
_atom_site_label
_atom_site_type_symbol
_atom_site_fract_x
_atom_site_fract_y
_atom_site_fract_z
Dy1 Dy 0.0268 0.0268 0.2726
Dy2 Dy 0.2758 0.2758 0.1938
Dy3 Dy 0.3353 0.3353 0.7391
Dy4 Dy 0.6647 0.6647 0.2609
Dy5 Dy 0.7242 0.7242 0.8062
Dy6 Dy 0.9732 0.9732 0.7274
Ho1 Ho 0.1318 0.1318 0.9573
Ho2 Ho 0.8682 0.8682 0.0427
Tm1 Tm 0.1695 0.1695 0.5222
Tm2 Tm 0.8305 0.8305 0.4778
Th1 Th 0.4326 0.4326 0.3274
Th2 Th 0.5674 0.5674 0.6726
```

=====

[4]
Below is crystalline Dy6Ho2Tm3Th at its relaxed geometry, with properties calculated at the GGA-PBE level.

* ΔH_f (0 K): 27 meV per atom

Structure (CIF):
```
data_Dy6Ho2Tm3Th
_cell_length_a 6.1141
_cell_length_b 6.1141
_cell_length_c 11.7111
_cell_angle_alpha 94.99
_cell_angle_beta 94.99
_cell_angle_gamma 119.96
_symmetry_space_group_name_H-M 'P 1'
_symmetry_Int_Tables_number 1
loop_
_symmetry_equiv_pos_as_xyz
'x,y,z'
loop_
_atom_site_label
_atom_site_type_symbol
_atom_site_fract_x
_atom_site_fract_y
_atom_site_fract_z
Dy1 Dy 0.0840 0.4146 0.7508
Dy2 Dy 0.2463 0.2463 0.2493
Dy3 Dy 0.4146 0.0840 0.7508
Dy4 Dy 0.5854 0.9160 0.2492
Dy5 Dy 0.7537 0.7537 0.7507
Dy6 Dy 0.9160 0.5854 0.2492
Ho1 Ho 0.3332 0.6668 0.5000
Ho2 Ho 0.6668 0.3332 0.5000
Tm1 Tm 0.1672 0.8328 0.0000
Tm2 Tm 0.5000 0.5000 0.0000
Tm3 Tm 0.8328 0.1672 0.0000
Th1 Th 0.0000 0.0000 0.5000
```

=====

[5]
Below is crystalline Dy5HoTm2Th at its relaxed geometry, with properties calculated at the GGA-PBE level.

* ΔH_f (0 K): 163 meV per atom

Structure (CIF):
```
data_Dy5HoTm2Th
_cell_length_a 11.0916
_cell_length_b 11.0916
_cell_length_c 9.6264
_cell_angle_alpha 90.00
_cell_angle_beta 90.00
_cell_angle_gamma 150.39
_symmetry_space_group_name_H-M 'P 1'
_symmetry_Int_Tables_number 1
loop_
_symmetry_equiv_pos_as_xyz
'x,y,z'
loop_
_atom_site_label
_atom_site_type_symbol
_atom_site_fract_x
_atom_site_fract_y
_atom_site_fract_z
Dy1 Dy 0.0143 0.9857 0.5000
Dy2 Dy 0.2719 0.7281 0.8044
Dy3 Dy 0.3038 0.6962 0.1989
Dy4 Dy 0.3984 0.6016 0.5241
Dy5 Dy 0.4684 0.5316 0.2251
Dy6 Dy 0.5316 0.4684 0.7251
Dy7 Dy 0.6016 0.3984 0.0241
Dy8 Dy 0.6962 0.3038 0.6989
Dy9 Dy 0.7281 0.2719 0.3044
Dy10 Dy 0.9857 0.0143 0.0000
Ho1 Ho 0.1892 0.8108 0.4994
Ho2 Ho 0.8108 0.1892 0.9994
Tm1 Tm 0.1161 0.8839 0.8123
Tm2 Tm 0.1288 0.8712 0.1939
Tm3 Tm 0.8712 0.1288 0.6939
Tm4 Tm 0.8839 0.1161 0.3123
Th1 Th 0.4052 0.5948 0.9041
Th2 Th 0.5948 0.4052 0.4041
```

=====

[6]
Below is crystalline Dy2Ho3Tm6Th at its relaxed geometry, with properties calculated at the GGA-PBE level.

* ΔH_f (0 K): 26 meV per atom

Structure (CIF):
```
data_Dy2Ho3Tm6Th
_cell_length_a 6.0922
_cell_length_b 6.0922
_cell_length_c 11.6312
_cell_angle_alpha 95.01
_cell_angle_beta 95.01
_cell_angle_gamma 119.96
_symmetry_space_group_name_H-M 'P 1'
_symmetry_Int_Tables_number 1
loop_
_symmetry_equiv_pos_as_xyz
'x,y,z'
loop_
_atom_site_label
_atom_site_type_symbol
_atom_site_fract_x
_atom_site_fract_y
_atom_site_fract_z
Dy1 Dy 0.1667 0.8333 0.0000
Dy2 Dy 0.8333 0.1667 0.0000
Ho1 Ho 0.0000 0.0000 0.5000
Ho2 Ho 0.3327 0.6673 0.5000
Ho3 Ho 0.6673 0.3327 0.5000
Tm1 Tm 0.0858 0.4160 0.7499
Tm2 Tm 0.2541 0.2541 0.2501
Tm3 Tm 0.4160 0.0858 0.7499
Tm4 Tm 0.5840 0.9142 0.2501
Tm5 Tm 0.7459 0.7459 0.7499
Tm6 Tm 0.9142 0.5840 0.2501
Th1 Th 0.5000 0.5000 0.0000
```

=====

[7]
Below is crystalline Dy2Ho6TmTh at its relaxed geometry, with properties calculated at the GGA-PBE level.

* ΔH_f (0 K): 151 meV per atom

Structure (CIF):
```
data_Dy2Ho6TmTh
_cell_length_a 8.8431
_cell_length_b 8.8431
_cell_length_c 9.0900
_cell_angle_alpha 91.71
_cell_angle_beta 91.71
_cell_angle_gamma 116.86
_symmetry_space_group_name_H-M 'P 1'
_symmetry_Int_Tables_number 1
loop_
_symmetry_equiv_pos_as_xyz
'x,y,z'
loop_
_atom_site_label
_atom_site_type_symbol
_atom_site_fract_x
_atom_site_fract_y
_atom_site_fract_z
Dy1 Dy 0.1870 0.2969 0.4425
Dy2 Dy 0.2969 0.1870 0.9425
Dy3 Dy 0.7031 0.8130 0.0575
Dy4 Dy 0.8130 0.7031 0.5575
Ho1 Ho 0.0186 0.7811 0.8950
Ho2 Ho 0.0660 0.5047 0.6920
Ho3 Ho 0.2189 0.9814 0.6050
Ho4 Ho 0.2739 0.6265 0.0605
Ho5 Ho 0.3735 0.7261 0.4395
Ho6 Ho 0.4953 0.9340 0.8080
Ho7 Ho 0.5047 0.0660 0.1920
Ho8 Ho 0.6265 0.2739 0.5605
Ho9 Ho 0.7261 0.3735 0.9395
Ho10 Ho 0.7811 0.0186 0.3950
Ho11 Ho 0.9340 0.4953 0.3080
Ho12 Ho 0.9814 0.2189 0.1050
Tm1 Tm 0.0823 0.9177 0.2500
Tm2 Tm 0.9177 0.0823 0.7500
Th1 Th 0.4652 0.5348 0.7500
Th2 Th 0.5348 0.4652 0.2500
```

=====

[8]
Below is crystalline DyHo6Tm2Th at its relaxed geometry, with properties calculated at the GGA-PBE level.

* ΔH_f (0 K): 150 meV per atom

Structure (CIF):
```
data_DyHo6Tm2Th
_cell_length_a 8.7847
_cell_length_b 8.7847
_cell_length_c 9.1500
_cell_angle_alpha 92.07
_cell_angle_beta 92.07
_cell_angle_gamma 116.34
_symmetry_space_group_name_H-M 'P 1'
_symmetry_Int_Tables_number 1
loop_
_symmetry_equiv_pos_as_xyz
'x,y,z'
loop_
_atom_site_label
_atom_site_type_symbol
_atom_site_fract_x
_atom_site_fract_y
_atom_site_fract_z
Dy1 Dy 0.0851 0.9149 0.7500
Dy2 Dy 0.9149 0.0851 0.2500
Ho1 Ho 0.0212 0.7861 0.3921
Ho2 Ho 0.0643 0.5076 0.1864
Ho3 Ho 0.2139 0.9788 0.1079
Ho4 Ho 0.2706 0.6192 0.5600
Ho5 Ho 0.3808 0.7294 0.9400
Ho6 Ho 0.4924 0.9357 0.3136
Ho7 Ho 0.5076 0.0643 0.6864
Ho8 Ho 0.6192 0.2706 0.0600
Ho9 Ho 0.7294 0.3808 0.4400
Ho10 Ho 0.7861 0.0212 0.8921
Ho11 Ho 0.9357 0.4924 0.8136
Ho12 Ho 0.9788 0.2139 0.6079
Tm1 Tm 0.1918 0.2978 0.9438
Tm2 Tm 0.2978 0.1918 0.4438
Tm3 Tm 0.7022 0.8082 0.5562
Tm4 Tm 0.8082 0.7022 0.0562
Th1 Th 0.4641 0.5359 0.2500
Th2 Th 0.5359 0.4641 0.7500
```

=====

[9]
Below is crystalline Dy2HoTm2Th at its relaxed geometry, with properties calculated at the GGA-PBE level.

* ΔH_f (0 K): 148 meV per atom

Structure (CIF):
```
data_Dy2HoTm2Th
_cell_length_a 6.4692
_cell_length_b 6.9548
_cell_length_c 8.6912
_cell_angle_alpha 90.00
_cell_angle_beta 103.39
_cell_angle_gamma 90.00
_symmetry_space_group_name_H-M 'P 1'
_symmetry_Int_Tables_number 1
loop_
_symmetry_equiv_pos_as_xyz
'x,y,z'
loop_
_atom_site_label
_atom_site_type_symbol
_atom_site_fract_x
_atom_site_fract_y
_atom_site_fract_z
Dy1 Dy 0.1173 0.2500 0.3480
Dy2 Dy 0.2428 0.7500 0.9957
Dy3 Dy 0.7572 0.2500 0.0043
Dy4 Dy 0.8827 0.7500 0.6520
Ho1 Ho 0.2677 0.2500 0.9908
Ho2 Ho 0.7323 0.7500 0.0092
Tm1 Tm 0.4048 0.9996 0.6821
Tm2 Tm 0.4048 0.5004 0.6821
Tm3 Tm 0.5952 0.0004 0.3179
Tm4 Tm 0.5952 0.4996 0.3179
Th1 Th 0.1334 0.7500 0.3455
Th2 Th 0.8666 0.2500 0.6545
```

=====

[10]
Below is crystalline Dy6HoTmTh2 at its relaxed geometry, with properties calculated at the GGA-PBE level.

* ΔH_f (0 K): 132 meV per atom

Structure (CIF):
```
data_Dy6HoTmTh2
_cell_length_a 11.2596
_cell_length_b 11.2596
_cell_length_c 6.3838
_cell_angle_alpha 91.45
_cell_angle_beta 91.45
_cell_angle_gamma 127.94
_symmetry_space_group_name_H-M 'P 1'
_symmetry_Int_Tables_number 1
loop_
_symmetry_equiv_pos_as_xyz
'x,y,z'
loop_
_atom_site_label
_atom_site_type_symbol
_atom_site_fract_x
_atom_site_fract_y
_atom_site_fract_z
Dy1 Dy 0.0681 0.7841 0.9842
Dy2 Dy 0.0918 0.5580 0.2654
Dy3 Dy 0.2159 0.9319 0.5158
Dy4 Dy 0.3197 0.4523 0.0400
Dy5 Dy 0.4420 0.9082 0.2346
Dy6 Dy 0.4523 0.3197 0.5400
Dy7 Dy 0.5477 0.6803 0.4600
Dy8 Dy 0.5580 0.0918 0.7654
Dy9 Dy 0.6803 0.5477 0.9600
Dy10 Dy 0.7841 0.0681 0.4842
Dy11 Dy 0.9082 0.4420 0.7346
Dy12 Dy 0.9319 0.2159 0.0158
Ho1 Ho 0.0019 0.9981 0.2500
Ho2 Ho 0.9981 0.0019 0.7500
Tm1 Tm 0.2965 0.7035 0.7500
Tm2 Tm 0.7035 0.2965 0.2500
Th1 Th 0.1601 0.3492 0.5340
Th2 Th 0.3492 0.1601 0.0340
Th3 Th 0.6508 0.8399 0.9660
Th4 Th 0.8399 0.6508 0.4660
```

=====

[11]
Below is crystalline Dy6Ho2TmTh3 at its relaxed geometry, with properties calculated at the GGA-PBE level.

* ΔH_f (0 K): 25 meV per atom

Structure (CIF):
```
data_Dy6Ho2TmTh3
_cell_length_a 6.1551
_cell_length_b 6.1551
_cell_length_c 11.7055
_cell_angle_alpha 95.04
_cell_angle_beta 95.04
_cell_angle_gamma 119.97
_symmetry_space_group_name_H-M 'P 1'
_symmetry_Int_Tables_number 1
loop_
_symmetry_equiv_pos_as_xyz
'x,y,z'
loop_
_atom_site_label
_atom_site_type_symbol
_atom_site_fract_x
_atom_site_fract_y
_atom_site_fract_z
Dy1 Dy 0.0840 0.4172 0.7525
Dy2 Dy 0.2491 0.2491 0.2472
Dy3 Dy 0.4172 0.0840 0.7525
Dy4 Dy 0.5828 0.9160 0.2475
Dy5 Dy 0.7509 0.7509 0.7528
Dy6 Dy 0.9160 0.5828 0.2475
Ho1 Ho 0.3335 0.6665 0.5000
Ho2 Ho 0.6665 0.3335 0.5000
Tm1 Tm 0.0000 0.0000 0.5000
Th1 Th 0.1669 0.8331 0.0000
Th2 Th 0.5000 0.5000 0.0000
Th3 Th 0.8331 0.1669 0.0000
```

=====

[12]
Below is crystalline DyHoTm2Th at its relaxed geometry, with properties calculated at the GGA-PBE level.

* ΔH_f (0 K): 374 meV per atom

Structure (CIF):
```
data_DyHoTm2Th
_cell_length_a 8.1887
_cell_length_b 6.0385
_cell_length_c 6.8986
_cell_angle_alpha 90.00
_cell_angle_beta 97.96
_cell_angle_gamma 90.00
_symmetry_space_group_name_H-M 'P 1'
_symmetry_Int_Tables_number 1
loop_
_symmetry_equiv_pos_as_xyz
'x,y,z'
loop_
_atom_site_label
_atom_site_type_symbol
_atom_site_fract_x
_atom_site_fract_y
_atom_site_fract_z
Dy1 Dy 0.0000 0.0000 0.0000
Dy2 Dy 0.0000 0.0000 0.5000
Ho1 Ho 0.5000 0.0904 0.2500
Ho2 Ho 0.5000 0.9096 0.7500
Tm1 Tm 0.3332 0.4121 0.5800
Tm2 Tm 0.3332 0.5879 0.0800
Tm3 Tm 0.6668 0.4121 0.9200
Tm4 Tm 0.6668 0.5879 0.4200
Th1 Th 0.0000 0.4685 0.2500
Th2 Th 0.0000 0.5315 0.7500
```